No. 1
Compound: ScTeSe2
Source: the Alexandria database
Functional: PBE-GGA
Structure: optimized geometry

The magnetization is 0.0 Bohr magnetons per cell. The value obtained for the mass density is 5.39 g cm⁻³. The calculation puts the raw formation energy at -0.572 eV per atom.

The space group is C2/m (No. 12) and the conventional cell measures 6.899, 8.020 and 4.259 Å, with angles of 90.00, 120.22 and 90.00 degrees. Symmetry generates all atoms from Sc at (0.000, 0.000, 0.000), Te at (0.000, 0.500, 0.000) and Se at (0.250, 0.250, 0.500).


No. 2
Compound: ScTeSe2
Source: the Alexandria database
Functional: PBE-GGA
Structure: optimized geometry

The magnetization is 0.0 Bohr magnetons per cell. The value obtained for the mass density is 4.98 g cm⁻³. The calculation puts the raw formation energy at 0.050 eV per atom.

The space group is R-3m (No. 166, hexagonal axes) and the conventional cell measures 3.7247, 3.7247 and 27.4876 Å, with angles of 90.00, 90.00 and 120.00 degrees. Symmetry generates all atoms from Sc at (0.0000, 0.0000, 0.0000), Te at (0.0000, 0.0000, 0.5000) and Se at (0.0000, 0.0000, 0.0936).


Q: Which of these has the lowest mass density?
A: number 2